1.
# HoTh4Zn5 PBE-GGA optimized geometry
# total magnetic moment	0.000	Bohr magnetons per cell
# energy of formation	-0.2069	eV per atom
data_HoTh4Zn5
_chemical_formula_sum 'Ho1 Th4 Zn5'
_cell_length_a 3.6389
_cell_length_b 3.6389
_cell_length_c 18.2734
_cell_angle_alpha 90.00
_cell_angle_beta 90.00
_cell_angle_gamma 90.00
_symmetry_space_group_name_H-M 'P 4/m m m'
_symmetry_Int_Tables_number 123
_symmetry_space_group_name_Hall '-P 4 2'
loop_
_atom_site_label
_atom_site_type_symbol
_atom_site_fract_x
_atom_site_fract_y
_atom_site_fract_z
_atom_site_occupancy
Ho1 Ho 0.0000 0.0000 0.0000 1
Th1 Th 0.0000 0.0000 0.1965 1
Th2 Th 0.0000 0.0000 0.3989 1
Zn1 Zn 0.5000 0.5000 0.0898 1
Zn2 Zn 0.5000 0.5000 0.2975 1
Zn3 Zn 0.5000 0.5000 0.5000 1

2.
# Tb6Y2Ho3Tl PBE-GGA optimized geometry
# total magnetic moment	0.001	Bohr magnetons per cell
# energy of formation	-0.0159	eV per atom
data_Tb6Y2Ho3Tl
_chemical_formula_sum 'Tb12 Y4 Ho6 Tl2'
_cell_length_a 6.0964
_cell_length_b 10.5713
_cell_length_c 11.6774
_cell_angle_alpha 90.00
_cell_angle_beta 100.13
_cell_angle_gamma 90.00
_symmetry_space_group_name_H-M 'C 1 2/m 1'
_symmetry_Int_Tables_number 12
_symmetry_space_group_name_Hall '-C 2y'
loop_
_atom_site_label
_atom_site_type_symbol
_atom_site_fract_x
_atom_site_fract_y
_atom_site_fract_z
_atom_site_occupancy
Tb1 Tb 0.2465 0.0000 0.2490 1
Tb2 Tb 0.2470 0.1646 0.7492 1
Y1 Y 0.0000 0.3342 0.5000 1
Ho1 Ho 0.0000 0.1671 0.0000 1
Ho2 Ho 0.0000 0.5000 0.0000 1
Tl1 Tl 0.0000 0.0000 0.5000 1

3.
# PrGdPb PBE-GGA optimized geometry
# polymorph energy (0 for the lowest one)	49.6	meV per atom
# total magnetic moment	7.568	Bohr magnetons per cell
# energy of formation	-0.2462	eV per atom
data_PrGdPb
_chemical_formula_sum 'Pr1 Gd1 Pb1'
_cell_length_a 5.3592
_cell_length_b 5.3592
_cell_length_c 3.8697
_cell_angle_alpha 90.00
_cell_angle_beta 90.00
_cell_angle_gamma 120.00
_symmetry_space_group_name_H-M 'P 3 m 1'
_symmetry_Int_Tables_number 156
_symmetry_space_group_name_Hall 'P 3 -2"'
loop_
_atom_site_label
_atom_site_type_symbol
_atom_site_fract_x
_atom_site_fract_y
_atom_site_fract_z
_atom_site_occupancy
Pr1 Pr 0.0000 0.0000 0.0000 1
Gd1 Gd 0.3333 0.6667 0.4497 1
Pb1 Pb 0.6667 0.3333 0.6666 1

4.
# Nd4In5Sn PBE-GGA optimized geometry
# total magnetic moment	0.000	Bohr magnetons per cell
# energy of formation	-0.2366	eV per atom
data_Nd4In5Sn
_chemical_formula_sum 'Nd8 In10 Sn2'
_cell_length_a 7.3174
_cell_length_b 10.3692
_cell_length_c 8.0439
_cell_angle_alpha 90.00
_cell_angle_beta 90.00
_cell_angle_gamma 90.00
_symmetry_space_group_name_H-M 'P m m n'
_symmetry_Int_Tables_number 59
loop_
_symmetry_equiv_pos_as_xyz
'x,y,z'
'-x,-y,-z'
'-x+1/2,-y+1/2,z'
'x+1/2,y+1/2,-z'
'x+1/2,-y,-z'
'-x+1/2,y,z'
'-x,y+1/2,-z'
'x,-y+1/2,z'
loop_
_atom_site_label
_atom_site_type_symbol
_atom_site_fract_x
_atom_site_fract_y
_atom_site_fract_z
_atom_site_occupancy
Nd1 Nd 0.0078 0.2500 0.1954 1
Nd2 Nd 0.2500 0.5650 0.4875 1
In1 In 0.0504 0.0640 0.8294 1
In2 In 0.2500 0.7500 0.1331 1
Sn1 Sn 0.2500 0.2500 0.5395 1

5.
# Ce5WN8 PBE-GGA optimized geometry
# total magnetic moment	3.834	Bohr magnetons per cell
# ΔE_f (raw)	-1.069	eV per atom
data_Ce5WN8
_chemical_formula_sum 'Ce10 W2 N16'
_cell_length_a 7.3915
_cell_length_b 7.3915
_cell_length_c 7.6544
_cell_angle_alpha 90.00
_cell_angle_beta 90.00
_cell_angle_gamma 90.00
_symmetry_space_group_name_H-M 'I -4'
_symmetry_Int_Tables_number 82
_symmetry_space_group_name_Hall 'I -4'
loop_
_atom_site_label
_atom_site_type_symbol
_atom_site_fract_x
_atom_site_fract_y
_atom_site_fract_z
_atom_site_occupancy
Ce1 Ce 0.0000 0.0000 0.0000 1
Ce2 Ce 0.1438 0.2614 0.3806 1
W1 W 0.0000 0.5000 0.7500 1
N1 N 0.0379 0.2475 0.6736 1
N2 N 0.0629 0.2881 0.0925 1

6.
# NbB3N PBE-GGA optimized geometry
# polymorph energy (0 for the lowest one)	1473.5	meV per atom
# total magnetic moment	2.160	Bohr magnetons per cell
# ΔE_f (raw)	2.760	eV per atom
data_NbB3N
_chemical_formula_sum 'Nb1 B3 N1'
_cell_length_a 4.3601
_cell_length_b 4.3601
_cell_length_c 4.3601
_cell_angle_alpha 90.00
_cell_angle_beta 90.00
_cell_angle_gamma 90.00
_symmetry_space_group_name_H-M 'P m -3 m'
_symmetry_Int_Tables_number 221
_symmetry_space_group_name_Hall '-P 4 2 3'
loop_
_atom_site_label
_atom_site_type_symbol
_atom_site_fract_x
_atom_site_fract_y
_atom_site_fract_z
_atom_site_occupancy
Nb1 Nb 0.0000 0.0000 0.0000 1
B1 B 0.0000 0.0000 0.5000 1
N1 N 0.5000 0.5000 0.5000 1

7.
# Tm2NiOs PBE-GGA optimized geometry
# polymorph energy (0 for the lowest one)	3.0	meV per atom
# total magnetic moment	0.000	Bohr magnetons per cell
# energy of formation	-0.3803	eV per atom
data_Tm2NiOs
_chemical_formula_sum 'Tm2 Ni1 Os1'
_cell_length_a 3.3653
_cell_length_b 3.3653
_cell_length_c 6.6409
_cell_angle_alpha 90.00
_cell_angle_beta 90.00
_cell_angle_gamma 90.00
_symmetry_space_group_name_H-M 'P 4/m m m'
_symmetry_Int_Tables_number 123
_symmetry_space_group_name_Hall '-P 4 2'
loop_
_atom_site_label
_atom_site_type_symbol
_atom_site_fract_x
_atom_site_fract_y
_atom_site_fract_z
_atom_site_occupancy
Tm1 Tm 0.0000 0.0000 0.2479 1
Ni1 Ni 0.5000 0.5000 0.5000 1
Os1 Os 0.5000 0.5000 0.0000 1

8.
# AcNd2DyY PBE-GGA optimized geometry
# total magnetic moment	0.000	Bohr magnetons per cell
# energy of formation	0.0401	eV per atom
data_AcNd2DyY
_chemical_formula_sum 'Ac2 Nd4 Dy2 Y2'
_cell_length_a 6.4907
_cell_length_b 5.9212
_cell_length_c 9.9213
_cell_angle_alpha 90.00
_cell_angle_beta 109.06
_cell_angle_gamma 90.00
_symmetry_space_group_name_H-M 'P 1 21/m 1'
_symmetry_Int_Tables_number 11
_symmetry_space_group_name_Hall '-P 2yb'
loop_
_atom_site_label
_atom_site_type_symbol
_atom_site_fract_x
_atom_site_fract_y
_atom_site_fract_z
_atom_site_occupancy
Ac1 Ac 0.2307 0.2500 0.2986 1
Nd1 Nd 0.3655 0.7500 0.9056 1
Nd2 Nd 0.4302 0.2500 0.7023 1
Dy1 Dy 0.0395 0.2500 0.9012 1
Y1 Y 0.1612 0.7500 0.5002 1